The following is a PBE calculation of a relaxed structure of KAgTe2IrS, from OQMD.

Lattice parameters (Å, degrees): 4.0692 15.4400 10.1555 90.00 90.00 90.00
With the nearest neighbours (Å) after each atom.
Space group Cmcm (No. 63)
One atom of each set of equivalent atoms:
K (0.0000, 0.2378, 0.2500) [4 per cell]  6 Te 3.47-3.69, 2 Ag 3.64, 2 S 3.77
Ag (0.0000, 0.4579, 0.7500) [4 per cell]  2 S 2.54, 2 Te 2.70
Te (0.0000, 0.3835, 0.5096) [8 per cell]  1 Ag 2.70, 2 Ir 2.72
Ir (0.0000, 0.0000, 0.0000) [4 per cell]  2 S 2.68, 4 Te 2.72
S (0.0000, 0.0563, 0.7500) [4 per cell]  2 Ag 2.54, 2 Ir 2.68

Output
Calculated density = 6.52 g/cm³
Total DFT energy (no corrections) = -97.25 eV for the cell shown

---

The following is a PBE calculation of a relaxed structure of KAg3IrSe4, from OQMD.

Lattice parameters (Å, degrees): 6.4905 6.4905 6.4905 90.00 90.00 90.00
With the nearest neighbours (Å) after each atom.
Space group P-43m (No. 215)
One atom of each set of equivalent atoms:
K (0.0000, 0.0000, 0.0000) [1 per cell]  4 Se 3.20
Ag (0.0000, 0.5000, 0.5000) [3 per cell]  4 Se 2.71
Ir (0.5000, 0.5000, 0.5000) [1 per cell]  4 Se 2.42
Se (0.2845, 0.2845, 0.2845) [4 per cell]  1 Ir 2.42, 3 Ag 2.71

Output
Calculated density = 5.29 g/cm³
Total DFT energy (no corrections) = -33.42 eV for the cell shown

---

The following is a PBE calculation of a relaxed structure of KAgIrSe3, from OQMD.

Lattice parameters (Å, degrees): 3.8466 15.1173 10.1234 90.00 90.00 90.00
With the nearest neighbours (Å) after each atom.
Space group Cmcm (No. 63)
One atom of each set of equivalent atoms:
K (0.0000, 0.2457, 0.2500) [4 per cell]  8 Se 3.43-3.68, 2 Ag 3.43
Ag (0.0000, 0.4425, 0.7500) [4 per cell]  4 Se 2.53-2.65
Ir (0.0000, 0.0000, 0.0000) [4 per cell]  6 Se 2.56-2.71
Se (0.0000, 0.0633, 0.7500) [4 per cell]  2 Ag 2.65, 2 Ir 2.71
Se (0.0000, 0.3888, 0.5134) [8 per cell]  1 Ag 2.53, 2 Ir 2.56

Output
Calculated density = 6.50 g/cm³
Total DFT energy (no corrections) = -100.22 eV for the cell shown

---

The following is a PBE calculation of a relaxed structure of KAg3Te4Ir, from OQMD.

Lattice parameters (Å, degrees): 6.8479 6.8479 6.8479 90.00 90.00 90.00
With the nearest neighbours (Å) after each atom.
Space group P-43m (No. 215)
One atom of each set of equivalent atoms:
K (0.0000, 0.0000, 0.0000) [1 per cell]  4 Te 3.36
Ag (0.0000, 0.5000, 0.5000) [3 per cell]  4 Te 2.86
Te (0.2835, 0.2835, 0.2835) [4 per cell]  1 Ir 2.57, 3 Ag 2.86
Ir (0.5000, 0.5000, 0.5000) [1 per cell]  4 Te 2.57

Output
Calculated density = 5.51 g/cm³
Total DFT energy (no corrections) = -31.49 eV for the cell shown